1.
Material: GaHgN2F
Method: DFT, PBE
State: optimized geometry

Calculated values
V in Å³/atom: 17.96
Polymorph energy (0 for the lowest one) in eV per atom: 0.7012

Lattice parameters (Å, degrees): 4.262 4.262 4.944 90.00 90.00 90.00
Atoms (fractional coordinates):
Ga: 0.000 0.000 0.000
Hg: 0.500 0.500 0.500
N: 0.000 0.500 0.500
N: 0.500 0.000 0.500
F: 0.500 0.500 0.000

2.
Material: GaHgN2F
Method: DFT, PBE
State: optimized geometry

Calculated values
V in Å³/atom: 12.88
Polymorph energy (0 for the lowest one) in eV per atom: 0.0000

Lattice parameters (Å, degrees): 4.031 4.031 3.962 90.00 90.00 90.00
Atoms (fractional coordinates):
Ga: 0.000 0.000 0.000
Hg: 0.500 0.500 0.500
N: 0.000 0.500 0.000
N: 0.500 0.000 0.000
F: 0.000 0.000 0.500